No. 1
Below is a PBEsol-optimized structure of CdWC3, with properties calculated at the SCAN level.

Geometry as POSCAR:
```
CdWC3
1.0
4.0140 0.0000 0.0000
0.0000 4.0140 0.0000
0.0000 0.0000 4.0140
Cd W C
1 1 3
direct
0.0000 0.0000 0.0000
0.5000 0.5000 0.5000
0.0000 0.0000 0.5000
0.0000 0.5000 0.0000
0.5000 0.0000 0.0000
```

Properties
The energy of formation is 3.8744 eV/atom. Its space-group type is Pm-3m. For the total magnetic moment, the calculation gives 1.2 μB/f.u.

No. 2
Below is a PBEsol-optimized structure of FePt2, with properties calculated at the SCAN level.

Geometry as POSCAR:
```
FePt2
1.0
1.8922 -5.7537 0.0000
1.8922 5.7537 0.0000
0.0000 0.0000 3.8550
Fe Pt
2 4
direct
0.0838 0.9162 0.7500
0.9162 0.0838 0.2500
0.2537 0.7463 0.2500
0.4217 0.5783 0.7500
0.5783 0.4217 0.2500
0.7463 0.2537 0.7500
```

Properties
The energy of formation is -0.3623 eV/atom. Its space-group type is Cmcm. For the total magnetic moment, the calculation gives 3.8 μB/f.u.

No. 3
Below is a PBEsol-optimized structure of Mn3CrO8, with properties calculated at the SCAN level.

Geometry as POSCAR:
```
Mn3CrO8
1.0
5.6311 0.0000 0.0000
-2.8156 4.8767 0.0000
0.0000 0.0000 8.7060
Mn Cr O
6 2 16
direct
0.1677 0.3354 0.0000
0.1677 0.8323 0.0000
0.3354 0.1677 0.5000
0.6646 0.8323 0.0000
0.8323 0.1677 0.5000
0.8323 0.6646 0.5000
0.3333 0.6667 0.7212
0.6667 0.3333 0.2212
0.0000 0.0000 0.3924
0.0000 0.0000 0.8924
0.0414 0.5207 0.8727
0.1679 0.3359 0.6107
0.1679 0.8321 0.6107
0.3333 0.6667 0.1117
0.3359 0.1679 0.1107
0.4793 0.5207 0.8727
0.4793 0.9586 0.8727
0.5207 0.0414 0.3727
0.5207 0.4793 0.3727
0.6641 0.8321 0.6107
0.6667 0.3333 0.6117
0.8321 0.1679 0.1107
0.8321 0.6641 0.1107
0.9586 0.4793 0.3727
```

Properties
Its space-group type is P6_3mc. For the total magnetic moment, the calculation gives 11.0 μB/f.u. The total energy is -12.3361 eV/atom.

No. 4
Below is a PBEsol-optimized structure of Zn3Au, with properties calculated at the SCAN level.

Geometry as POSCAR:
```
Zn3Au
1.0
0.0000 3.0827 3.0827
3.0827 0.0000 3.0827
3.0827 3.0827 0.0000
Zn Au
3 1
direct
0.0000 0.0000 0.0000
0.2500 0.2500 0.2500
0.7500 0.7500 0.7500
0.5000 0.5000 0.5000
```

Properties
The energy of formation is -0.1137 eV/atom. Its space-group type is Fm-3m. For the total magnetic moment, the calculation gives 0.0 μB/f.u.

No. 5
Below is a PBEsol-optimized structure of RbCd2SnBi, with properties calculated at the SCAN level.

Geometry as POSCAR:
```
RbCd2SnBi
1.0
5.6845 0.0000 0.0000
0.0000 5.6845 0.0000
0.0000 0.0000 6.7992
Rb Cd Sn Bi
1 2 1 1
direct
0.0000 0.0000 0.0000
0.0000 0.5000 0.5000
0.5000 0.0000 0.5000
0.5000 0.5000 0.0000
0.0000 0.0000 0.5000
```

Properties
The energy of formation is 0.4599 eV/atom. Its space-group type is P4/mmm. For the total magnetic moment, the calculation gives 2.3 μB/f.u.

No. 6
Below is a PBEsol-optimized structure of Os2RhCl, with properties calculated at the SCAN level.

Geometry as POSCAR:
```
Os2RhCl
1.0
4.6584 0.0000 0.0000
0.0000 2.7136 0.0000
-1.5478 0.0000 4.4879
Os Rh Cl
2 1 1
direct
0.0000 0.0000 0.0000
0.0000 0.5000 0.5000
0.5000 0.0000 0.5000
0.5000 0.5000 0.0000
```

Properties
Its space-group type is P2/m. For the total magnetic moment, the calculation gives 0.0 μB/f.u. The total energy is -45.1884 eV/atom.

No. 7
Below is a PBEsol-optimized structure of CoSnTe2N, with properties calculated at the SCAN level.

Geometry as POSCAR:
```
CoSnTe2N
1.0
5.7267 0.0000 0.0000
0.0000 5.7267 0.0000
0.0000 0.0000 3.8162
Co Sn Te N
1 1 2 1
direct
0.0000 0.0000 0.0000
0.5000 0.5000 0.5000
0.0000 0.5000 0.5000
0.5000 0.0000 0.5000
0.5000 0.5000 0.0000
```

Properties
Its space-group type is P4/mmm. For the total magnetic moment, the calculation gives 3.2 μB/f.u. The total energy is -26.1896 eV/atom.

No. 8
Below is a PBEsol-optimized structure of Ru2PbCl, with properties calculated at the SCAN level.

Geometry as POSCAR:
```
Ru2PbCl
1.0
4.9195 -1.5264 0.0000
4.9195 1.5264 0.0000
-0.4259 0.0000 4.6389
Ru Pb Cl
2 1 1
direct
0.0000 0.0000 0.0000
0.7247 0.7247 0.1968
0.4546 0.4546 0.4748
0.2110 0.2110 0.8307
```

Properties
Its space-group type is Cm. For the total magnetic moment, the calculation gives 0.0 μB/f.u. The total energy is -37.6988 eV/atom.

No. 9
Below is a PBEsol-optimized structure of Ba2ScAs, with properties calculated at the SCAN level.

Geometry as POSCAR:
```
Ba2ScAs
1.0
-2.0017 2.8492 5.9570
2.0017 -2.8492 5.9570
2.0017 2.8492 -5.9570
Ba Sc As
2 1 1
direct
0.0000 0.0000 0.0000
0.6842 0.1842 0.5000
0.3802 0.3802 0.0000
0.2354 0.7354 0.5000
```

Properties
The energy of formation is -0.5557 eV/atom. Its space-group type is Imm2. For the total magnetic moment, the calculation gives 1.4 μB/f.u.

No. 10
Below is a PBEsol-optimized structure of In2IrRu, with properties calculated at the SCAN level.

Geometry as POSCAR:
```
In2IrRu
1.0
2.9024 0.0000 0.0000
0.0000 2.9024 0.0000
0.0000 0.0000 8.3356
In Ir Ru
2 1 1
direct
0.0000 0.0000 0.0000
0.5000 0.5000 0.3217
0.0000 0.0000 0.5671
0.5000 0.5000 0.7617
```

Properties
The energy of formation is 0.1649 eV/atom. Its space-group type is P4mm. For the total magnetic moment, the calculation gives 0.6 μB/f.u.

No. 11
Below is a PBEsol-optimized structure of Li6Cu7, with properties calculated at the SCAN level.

Geometry as POSCAR:
```
Li6Cu7
1.0
2.4186 1.3964 8.5912
-2.4186 1.3964 8.5912
0.0000 -2.7927 8.5912
Li Cu
6 7
direct
0.0521 0.0521 0.0521
0.1536 0.1536 0.1536
0.3325 0.3325 0.3325
0.6675 0.6675 0.6675
0.8464 0.8464 0.8464
0.9479 0.9479 0.9479
0.0883 0.5898 0.5898
0.4102 0.4102 0.9117
0.4102 0.9117 0.4102
0.5000 0.5000 0.5000
0.5898 0.0883 0.5898
0.5898 0.5898 0.0883
0.9117 0.4102 0.4102
```

Properties
The energy of formation is -0.0649 eV/atom. Its space-group type is R-3m. For the total magnetic moment, the calculation gives 0.0 μB/f.u.

No. 12
Below is a PBEsol-optimized structure of BaCuAg2Bi, with properties calculated at the SCAN level.

Geometry as POSCAR:
```
BaCuAg2Bi
1.0
5.0044 0.0000 0.0000
0.0000 5.0044 0.0000
0.0000 0.0000 5.1351
Ba Cu Ag Bi
1 1 2 1
direct
0.0000 0.0000 0.0000
0.5000 0.5000 0.5000
0.0000 0.5000 0.5000
0.5000 0.0000 0.5000
0.5000 0.5000 0.0000
```

Properties
The energy of formation is -0.1125 eV/atom. Its space-group type is P4/mmm. For the total magnetic moment, the calculation gives 0.0 μB/f.u.